No. 1
First-principles (PBE-GGA) data for a relaxed structure of LiSn2Mo2, as listed in the Alexandria database.

a = 7.4490 Å, b = 7.4490 Å, c = 3.4661 Å
α = 90.00°, β = 90.00°, γ = 90.00°
Closest atoms and distances in Å follow each position.
Element x y z (fractional)
Li 0.0000 0.0000 0.0000  4 Sn 2.82
Li 0.5000 0.5000 0.0000  4 Sn 2.82
Mo 0.8615 0.3615 0.5000  6 Sn 2.78-2.79, 1 Mo 2.92
Mo 0.6385 0.8615 0.5000  6 Sn 2.78-2.79, 1 Mo 2.92
Mo 0.3615 0.1385 0.5000  6 Sn 2.78-2.79, 1 Mo 2.92
Mo 0.1385 0.6385 0.5000  6 Sn 2.78-2.79, 1 Mo 2.92
Sn 0.3447 0.8447 0.0000  6 Mo 2.78-2.79, 2 Li 2.82
Sn 0.6553 0.1553 0.0000  6 Mo 2.78-2.79, 2 Li 2.82
Sn 0.1553 0.3447 0.0000  6 Mo 2.78-2.79, 2 Li 2.82
Sn 0.8447 0.6553 0.0000  6 Mo 2.78-2.79, 2 Li 2.82

Values from the calculation:
Volume: 19.23 Å³ per atom
Calculated total energy: -0.4424 Ry/atom
Calculated formation energy: 0.297 eV per atom

No. 2
First-principles (PBE-GGA) data for a relaxed structure of LiSn3Mo, as listed in the Alexandria database.

a = 4.9175 Å, b = 4.9175 Å, c = 4.9175 Å
α = 90.00°, β = 90.00°, γ = 90.00°
Closest atoms and distances in Å follow each position.
Element x y z (fractional)
Sn 0.5000 0.0000 0.0000  2 Li 2.46
Sn 0.0000 0.5000 0.0000  2 Li 2.46
Sn 0.0000 0.0000 0.5000  2 Li 2.46
Li 0.0000 0.0000 0.0000  6 Sn 2.46
Mo 0.5000 0.5000 0.5000  12 Sn 3.48

Values from the calculation:
Volume: 23.78 Å³ per atom
Calculated total energy: -0.3040 Ry/atom
Calculated formation energy: 0.815 eV per atom

No. 3
First-principles (PBE-GGA) data for a relaxed structure of Sr2LiSnMo, as listed in the Alexandria database.

a = 6.3515 Å, b = 5.2831 Å, c = 6.3515 Å
α = 90.00°, β = 90.00°, γ = 90.00°
Closest atoms and distances in Å follow each position.
Element x y z (fractional)
Li 0.5000 0.5000 0.5000  8 Sr 4.13, 4 Mo 4.49
Sr 0.5000 0.0000 0.0000  2 Sn 3.18
Sr 0.0000 0.0000 0.5000  2 Sn 3.18
Mo 0.0000 0.5000 0.0000  2 Sn 2.64
Sn 0.0000 0.0000 0.0000  2 Mo 2.64

Values from the calculation:
Volume: 42.63 Å³ per atom
Calculated total energy: -0.2509 Ry/atom
Calculated formation energy: 0.608 eV per atom

No. 4
First-principles (PBE-GGA) data for a relaxed structure of LiSnTe2Mo, as listed in the Alexandria database.

a = 5.2724 Å, b = 4.9596 Å, c = 5.2724 Å
α = 90.00°, β = 90.00°, γ = 90.00°
Closest atoms and distances in Å follow each position.
Element x y z (fractional)
Te 0.0000 0.0000 0.5000  2 Mo 2.64
Te 0.5000 0.0000 0.0000  2 Mo 2.64
Li 0.0000 0.5000 0.0000  2 Mo 2.48
Mo 0.0000 0.0000 0.0000  2 Li 2.48, 4 Te 2.64
Sn 0.5000 0.5000 0.5000  8 Te 3.62, 4 Li 3.73

Values from the calculation:
Volume: 27.57 Å³ per atom
Uncorrected formation energy: 417 meV per atom
Calculated total energy: -0.3079 Ry/atom

No. 5
First-principles (PBE-GGA) data for a relaxed structure of LiTiSn2Mo, as listed in the Alexandria database.

a = 5.1955 Å, b = 4.7314 Å, c = 5.1955 Å
α = 90.00°, β = 90.00°, γ = 90.00°
Closest atoms and distances in Å follow each position.
Element x y z (fractional)
Li 0.0000 0.5000 0.0000  2 Ti 2.37
Mo 0.5000 0.5000 0.5000  8 Sn 3.51, 4 Li 3.67
Sn 0.5000 0.0000 0.0000  2 Ti 2.60
Sn 0.0000 0.0000 0.5000  2 Ti 2.60
Ti 0.0000 0.0000 0.0000  2 Li 2.37, 4 Sn 2.60

Values from the calculation:
Volume: 25.54 Å³ per atom
Calculated total energy: -0.3392 Ry/atom
Calculated formation energy: 1.114 eV per atom

No. 6
First-principles (PBE-GGA) data for a relaxed structure of LiVSn2Mo, as listed in the Alexandria database.

a = 5.1214 Å, b = 4.7217 Å, c = 5.1214 Å
α = 90.00°, β = 90.00°, γ = 90.00°
Closest atoms and distances in Å follow each position.
Element x y z (fractional)
Sn 0.5000 0.0000 0.0000  2 Mo 2.56
Sn 0.0000 0.0000 0.5000  2 Mo 2.56
Li 0.0000 0.5000 0.0000  2 Mo 2.36
V 0.5000 0.5000 0.5000  8 Sn 3.48, 4 Li 3.62
Mo 0.0000 0.0000 0.0000  2 Li 2.36, 4 Sn 2.56

Values from the calculation:
Volume: 24.77 Å³ per atom
Calculated total energy: -0.3475 Ry/atom
Calculated formation energy: 1.245 eV per atom

No. 7
First-principles (PBE-GGA) data for a relaxed structure of SrLiMo2, as listed in the Alexandria database.

a = 4.7490 Å, b = 4.7490 Å, c = 4.7490 Å
α = 60.00°, β = 60.00°, γ = 60.00°
Closest atoms and distances in Å follow each position.
Element x y z (fractional)
Li 0.0000 0.0000 0.0000  8 Mo 2.91
Mo 0.2500 0.2500 0.2500  4 Li 2.91, 4 Sr 2.91
Mo 0.7500 0.7500 0.7500  4 Li 2.91, 4 Sr 2.91
Sr 0.5000 0.5000 0.5000  8 Mo 2.91

Values from the calculation:
Volume: 18.93 Å³ per atom
Calculated total energy: -0.3481 Ry/atom
Calculated formation energy: 1.578 eV per atom

No. 8
First-principles (PBE-GGA) data for a relaxed structure of SrLi2Mo, as listed in the Alexandria database.

a = 3.9399 Å, b = 5.0085 Å, c = 4.9883 Å
α = 90.00°, β = 90.00°, γ = 90.00°
Closest atoms and distances in Å follow each position.
Element x y z (fractional)
Mo 0.5000 0.0000 0.5000  8 Li 3.18-3.53, 4 Sr 3.19
Li 0.5000 0.5000 0.0000  4 Sr 3.18, 4 Li 3.19, 4 Mo 3.53
Li 0.0000 0.0000 0.0000  4 Mo 3.18, 4 Li 3.19, 4 Sr 3.53
Sr 0.0000 0.5000 0.5000  8 Li 3.18-3.53, 4 Mo 3.19

Values from the calculation:
Volume: 24.61 Å³ per atom
Calculated total energy: -0.2366 Ry/atom
Calculated formation energy: 0.866 eV per atom

No. 9
First-principles (PBE-GGA) data for a relaxed structure of SrLiMo2, as listed in the Alexandria database.

a = 9.6853 Å, b = 9.6853 Å, c = 9.6853 Å
α = 19.86°, β = 19.86°, γ = 19.86°
Closest atoms and distances in Å follow each position.
Element x y z (fractional)
Sr 0.5058 0.5058 0.5058  6 Sr 3.34, 3 Mo 3.37, 3 Li 3.56
Mo 0.9910 0.9910 0.9910  3 Mo 2.48
Mo 0.2694 0.2694 0.2694  3 Mo 2.48
Li 0.7338 0.7338 0.7338  3 Mo 2.90

Values from the calculation:
Volume: 22.93 Å³ per atom
Calculated total energy: -0.4140 Ry/atom
Calculated formation energy: 0.682 eV per atom

No. 10
First-principles (PBE-GGA) data for a relaxed structure of SrLi2Mo, as listed in the Alexandria database.

a = 5.0814 Å, b = 2.8039 Å, c = 6.0073 Å
α = 87.32°, β = 90.00°, γ = 90.00°
Closest atoms and distances in Å follow each position.
Element x y z (fractional)
Li 0.0000 0.9380 0.0630  1 Li 2.44
Li 0.0000 0.5620 0.4370  1 Li 2.44
Sr 0.5000 0.7500 0.7500  2 Sr 2.80
Mo 0.5000 0.2500 0.2500  2 Mo 2.80, 4 Li 2.93

Values from the calculation:
Volume: 21.37 Å³ per atom
Calculated total energy: -0.2472 Ry/atom
Calculated formation energy: 0.722 eV per atom

No. 11
First-principles (PBE-GGA) data for a relaxed structure of SrLiMo3, as listed in the Alexandria database.

a = 4.5600 Å, b = 4.5600 Å, c = 4.5600 Å
α = 90.00°, β = 90.00°, γ = 90.00°
Closest atoms and distances in Å follow each position.
Element x y z (fractional)
Mo 0.5000 0.0000 0.0000  2 Li 2.28
Mo 0.0000 0.5000 0.0000  2 Li 2.28
Mo 0.0000 0.0000 0.5000  2 Li 2.28
Li 0.0000 0.0000 0.0000  6 Mo 2.28
Sr 0.5000 0.5000 0.5000  12 Mo 3.22

Values from the calculation:
Volume: 18.96 Å³ per atom
Calculated total energy: -0.4081 Ry/atom
Calculated formation energy: 1.665 eV per atom

No. 12
First-principles (PBE-GGA) data for a relaxed structure of SrLi2Mo, as listed in the Alexandria database.

a = 5.3514 Å, b = 5.3514 Å, c = 5.9104 Å
α = 85.22°, β = 85.22°, γ = 31.44°
Closest atoms and distances in Å follow each position.
Element x y z (fractional)
Mo 0.7500 0.7500 0.7500  2 Mo 2.90, 6 Li 2.99
Sr 0.2500 0.2500 0.2500  2 Sr 2.90, 2 Li 3.21
Li 0.0108 0.0108 0.9369  4 Li 2.67-2.90, 2 Mo 2.99
Li 0.4892 0.4892 0.5631  4 Li 2.67-2.90, 2 Mo 2.99

Values from the calculation:
Volume: 21.99 Å³ per atom
Calculated total energy: -0.2470 Ry/atom
Calculated formation energy: 0.724 eV per atom